(1)
! GGA-PBE LiLaAu2, optimized geometry; values from VASP
&SYSTEM
  ibrav = 0, nat = 16, ntyp = 3
/
ATOMIC_SPECIES
Li 6.94 Li.upf
La 138.91 La.upf
Au 196.97 Au.upf
ATOMIC_POSITIONS angstrom
Li 0.000 0.000 0.000
Li 0.000 3.506 3.506
Li 3.506 0.000 3.506
Li 3.506 3.506 0.000
La 1.753 1.753 5.259
La 1.753 5.259 1.753
La 5.259 1.753 1.753
La 5.259 5.259 5.259
Au 0.000 0.000 3.506
Au 0.000 3.506 0.000
Au 1.753 1.753 1.753
Au 1.753 5.259 5.259
Au 3.506 0.000 0.000
Au 3.506 3.506 3.506
Au 5.259 1.753 5.259
Au 5.259 5.259 1.753
CELL_PARAMETERS angstrom
7.012 0.000 0.000
0.000 7.012 0.000
0.000 0.000 7.012
! Calculated formation energy in eV per atom: -0.518



(2)
! GGA-PBE LiLaAu3, optimized geometry; values from VASP
&SYSTEM
  ibrav = 0, nat = 10, ntyp = 3
/
ATOMIC_SPECIES
Li 6.94 Li.upf
La 138.91 La.upf
Au 196.97 Au.upf
ATOMIC_POSITIONS angstrom
Li 1.814 7.682 3.488
Li 1.814 -7.682 1.163
La 1.814 11.121 1.163
La 1.814 -11.121 3.488
Au 1.814 5.034 3.488
Au 1.814 3.522 1.163
Au 1.814 0.738 1.163
Au 1.814 -0.738 3.488
Au 1.814 -3.522 3.488
Au 1.814 -5.034 1.163
CELL_PARAMETERS angstrom
1.814 -13.261 0.000
1.814 13.261 0.000
0.000 0.000 4.650
! E above lowest polymorph in meV per atom: 0
! Calculated formation energy in eV per atom: -0.622



(3)
! GGA-PBE LiLa2Au6, optimized geometry; values from VASP
&SYSTEM
  ibrav = 0, nat = 9, ntyp = 3
/
ATOMIC_SPECIES
Li 6.94 Li.upf
La 138.91 La.upf
Au 196.97 Au.upf
ATOMIC_POSITIONS angstrom
Li 0.000 0.000 0.000
La 0.000 3.707 4.479
La 3.210 1.853 1.034
Au 0.000 1.964 1.660
Au -1.509 4.578 1.660
Au 1.701 0.982 3.853
Au 1.509 4.578 1.660
Au 4.719 0.982 3.853
Au 3.210 3.596 3.853
CELL_PARAMETERS angstrom
6.420 0.000 0.000
-3.210 5.560 0.000
0.000 0.000 5.513
! Calculated formation energy in eV per atom: -0.645



(4)
! GGA-PBE LiLaLuAu, optimized geometry; values from VASP
&SYSTEM
  ibrav = 0, nat = 16, ntyp = 4
/
ATOMIC_SPECIES
Li 6.94 Li.upf
La 138.91 La.upf
Lu 174.97 Lu.upf
Au 196.97 Au.upf
ATOMIC_POSITIONS angstrom
Li 0.000 0.000 0.000
Li 0.000 3.678 3.678
Li 3.678 0.000 3.678
Li 3.678 3.678 0.000
La 1.839 1.839 1.839
La 1.839 5.517 5.517
La 5.517 1.839 5.517
La 5.517 5.517 1.839
Lu 1.839 1.839 5.517
Lu 1.839 5.517 1.839
Lu 5.517 1.839 1.839
Lu 5.517 5.517 5.517
Au 0.000 0.000 3.678
Au 0.000 3.678 0.000
Au 3.678 0.000 0.000
Au 3.678 3.678 3.678
CELL_PARAMETERS angstrom
7.356 0.000 0.000
0.000 7.356 0.000
0.000 0.000 7.356
! Calculated formation energy in eV per atom: -0.363



(5)
! GGA-PBE LiLaMg2Au4, optimized geometry; values from VASP
&SYSTEM
  ibrav = 0, nat = 8, ntyp = 4
/
ATOMIC_SPECIES
Li 6.94 Li.upf
La 138.91 La.upf
Mg 24.30 Mg.upf
Au 196.97 Au.upf
ATOMIC_POSITIONS angstrom
Li 0.000 0.000 0.000
La 0.000 0.000 12.992
Mg 0.000 0.000 6.865
Mg 0.000 0.000 19.118
Au 0.000 0.000 2.636
Au 0.000 0.000 9.703
Au 0.000 0.000 16.281
Au 0.000 0.000 23.348
CELL_PARAMETERS angstrom
2.337 1.349 8.661
-2.337 1.349 8.661
0.000 -2.699 8.661
! Calculated formation energy in eV per atom: -0.665



(6)
! GGA-PBE Li2LaMgAu4, optimized geometry; values from VASP
&SYSTEM
  ibrav = 0, nat = 8, ntyp = 4
/
ATOMIC_SPECIES
Li 6.94 Li.upf
La 138.91 La.upf
Mg 24.30 Mg.upf
Au 196.97 Au.upf
ATOMIC_POSITIONS angstrom
Li 0.000 0.000 6.160
Li 0.000 0.000 20.061
La 0.000 0.000 0.000
Mg 0.000 0.000 13.111
Au 0.000 0.000 3.319
Au 0.000 0.000 10.420
Au 0.000 0.000 15.801
Au 0.000 0.000 22.902
CELL_PARAMETERS angstrom
2.298 1.327 8.740
-2.298 1.327 8.740
0.000 -2.654 8.740
! Calculated formation energy in eV per atom: -0.642



(7)
! GGA-PBE Li2LaMgAu2, optimized geometry; values from VASP
&SYSTEM
  ibrav = 0, nat = 6, ntyp = 4
/
ATOMIC_SPECIES
Li 6.94 Li.upf
La 138.91 La.upf
Mg 24.30 Mg.upf
Au 196.97 Au.upf
ATOMIC_POSITIONS angstrom
Li 0.000 2.643 1.172
Li 2.289 1.321 5.688
La 0.000 0.000 3.430
Mg 0.000 0.000 0.000
Au 0.000 2.643 5.349
Au 2.289 1.321 1.511
CELL_PARAMETERS angstrom
4.578 0.000 0.000
-2.289 3.964 0.000
0.000 0.000 6.861
! Calculated formation energy in eV per atom: -0.562



(8)
! GGA-PBE Li2LaMnAu, optimized geometry; values from VASP
&SYSTEM
  ibrav = 0, nat = 5, ntyp = 4
/
ATOMIC_SPECIES
Li 6.94 Li.upf
La 138.91 La.upf
Mn 54.94 Mn.upf
Au 196.97 Au.upf
ATOMIC_POSITIONS angstrom
Li 0.000 2.503 0.000
Li 2.503 0.000 0.000
La 0.000 0.000 0.000
Mn 0.000 0.000 2.198
Au 2.503 2.503 2.198
CELL_PARAMETERS angstrom
5.007 0.000 0.000
0.000 5.007 0.000
0.000 0.000 4.396
! Calculated formation energy in eV per atom: 1.074



(9)
! GGA-PBE Li5La2Au3N2, optimized geometry; values from VASP
&SYSTEM
  ibrav = 0, nat = 12, ntyp = 4
/
ATOMIC_SPECIES
Li 6.94 Li.upf
La 138.91 La.upf
Au 196.97 Au.upf
N 14.01 N.upf
ATOMIC_POSITIONS angstrom
Li 0.000 0.000 0.000
Li 2.186 0.000 1.805
Li 2.186 0.000 9.799
Li 0.000 2.186 1.805
Li 0.000 2.186 9.799
La 0.000 0.000 4.214
La 0.000 0.000 18.993
Au 0.000 0.000 7.555
Au 0.000 0.000 11.604
Au 0.000 0.000 15.653
N 0.000 0.000 2.063
N 0.000 0.000 21.145
CELL_PARAMETERS angstrom
-2.186 2.186 11.604
2.186 -2.186 11.604
2.186 2.186 -11.604
! Uncorrected formation energy in kJ per mole of atoms: -59.84



(10)
! GGA-PBE LiLa2AuN, optimized geometry; values from VASP
&SYSTEM
  ibrav = 0, nat = 5, ntyp = 4
/
ATOMIC_SPECIES
Li 6.94 Li.upf
La 138.91 La.upf
Au 196.97 Au.upf
N 14.01 N.upf
ATOMIC_POSITIONS angstrom
Li 0.000 0.000 0.000
La 0.000 2.555 2.068
La 2.555 0.000 2.068
Au 2.555 2.555 0.000
N 0.000 0.000 2.068
CELL_PARAMETERS angstrom
5.110 0.000 0.000
0.000 5.110 0.000
0.000 0.000 4.137
! E above lowest polymorph in meV per atom: 0
! Uncorrected formation energy in kJ per mole of atoms: -80.05



(11)
! GGA-PBE LiLa2AuN, optimized geometry; values from VASP
&SYSTEM
  ibrav = 0, nat = 5, ntyp = 4
/
ATOMIC_SPECIES
Li 6.94 Li.upf
La 138.91 La.upf
Au 196.97 Au.upf
N 14.01 N.upf
ATOMIC_POSITIONS angstrom
Li 0.000 0.000 0.000
La 0.000 2.826 2.232
La 2.826 0.000 2.232
Au 0.000 0.000 2.232
N 2.826 2.826 0.000
CELL_PARAMETERS angstrom
5.652 0.000 0.000
0.000 5.652 0.000
0.000 0.000 4.465
! E above lowest polymorph in meV per atom: 1361
! Uncorrected formation energy in kJ per mole of atoms: 51.30



(12)
! GGA-PBE LiLaAuN2, optimized geometry; values from VASP
&SYSTEM
  ibrav = 0, nat = 5, ntyp = 4
/
ATOMIC_SPECIES
Li 6.94 Li.upf
La 138.91 La.upf
Au 196.97 Au.upf
N 14.01 N.upf
ATOMIC_POSITIONS angstrom
Li 0.000 0.000 0.000
La 2.150 2.150 3.155
Au 2.150 2.150 0.000
N 0.000 2.150 3.155
N 2.150 0.000 3.155
CELL_PARAMETERS angstrom
4.300 0.000 0.000
0.000 4.300 0.000
0.000 0.000 6.311
! Uncorrected formation energy in kJ per mole of atoms: 57.82



Let's list total energy in order: -15.5 -19.8 -37.2 -16.1 -28.5 -28.6 -20.3 -15.8 -53.3 -27.5 -20.7 -23.8 eV per formula unit.